Density functional theory data (PBE+U) for a relaxed Na2LiMoF8 crystal.

a b c (Å): 5.0746 5.0265 7.0448
angles (deg): 89.97 90.03 96.28
Closest atoms and distances in Å follow each position.
Positions (direct):
Na 0.4998 0.5002 0.7172  4 F 2.20-2.45
Na 0.5002 0.4998 0.2828  4 F 2.20-2.45
Li 0.0000 0.0000 0.5000  2 F 1.79
Mo 0.0000 0.0000 0.0000  6 F 1.91-1.95
F 0.1762 0.8102 0.1890  1 Mo 1.91
F 0.7046 0.7169 0.0000  1 Mo 1.95
F 0.8239 0.1895 0.1890  1 Mo 1.92
F 0.8238 0.1898 0.8110  1 Mo 1.91
F 0.2954 0.2831 0.0000  1 Mo 1.95
F 0.1761 0.8105 0.8110  1 Mo 1.92
F 0.7330 0.7372 0.5000  1 Li 1.79
F 0.2670 0.2628 0.5000  1 Li 1.79

Output
spin magnetization	1.0	Bohr magnetons per cell
density	2.80	g/cm³
E_tot	-4.81	eV/atom